BaZrMn2: relaxed, PBE.

Results
Size of the total moment = 5.88 μB per cell
Density of states at the Fermi level = 4.39 states/eV/cell
Crystal system = tetragonal
ΔE_f = 0.3780 eV/atom

Geometry as extended XYZ:
```
4
Lattice="-0.153 -3.446 0.970 3.290 0.247 1.397 -2.972 2.002 6.645" Properties=species:S:1:pos:R:3 pbc="T T T"
Ba -0.660 -0.098 6.167
Mn -0.228 0.153 0.509
Mn -1.258 0.848 2.814
Zr 0.826 -1.099 2.845
```